1.
# AcDyTl2Ag2

A geometry-optimized AcDyTl2Ag2 structure (PBE-GGA, the Alexandria database).

a = 4.9624 Å, b = 4.9624 Å, c = 7.5915 Å
α = 90.00°, β = 90.00°, γ = 120.00°
Element x y z (fractional)
Dy 0.0000 0.0000 0.5000
Ag 0.6667 0.3333 0.2934
Ag 0.3333 0.6667 0.7066
Ac 0.0000 0.0000 0.0000
Tl 0.6667 0.3333 0.7223
Tl 0.3333 0.6667 0.2777

Computed properties:
**SG**: No. 164
**Density**: 10400 kg/m³
**Energy of formation from the pure elements**: -289 meV/atom
**Volume**: 162 Å³/cell

2.
# AcDy2Tl2Ag2

A geometry-optimized AcDy2Tl2Ag2 structure (PBE-GGA, the Alexandria database).

a = 4.9677 Å, b = 4.9677 Å, c = 9.5676 Å
α = 74.95°, β = 74.95°, γ = 60.00°
Element x y z (fractional)
Ag 0.5580 0.5580 0.3259
Ag 0.4420 0.4420 0.6741
Dy 0.8649 0.8649 0.4054
Dy 0.1351 0.1351 0.5946
Tl 0.2575 0.2575 0.2275
Tl 0.7425 0.7425 0.7725
Ac 0.0000 0.0000 0.0000

Computed properties:
**SG**: No. 166
**Density**: 10015 kg/m³
**Energy of formation from the pure elements**: -230 meV/atom
**Volume**: 195 Å³/cell

3.
# AcDyYAg

A geometry-optimized AcDyYAg structure (PBE-GGA, the Alexandria database).

a = 5.5702 Å, b = 5.5702 Å, c = 5.5702 Å
α = 60.00°, β = 60.00°, γ = 60.00°
Element x y z (fractional)
Ag 0.5000 0.5000 0.5000
Ac 0.0000 0.0000 0.0000
Dy 0.7500 0.7500 0.7500
Y 0.2500 0.2500 0.2500

Computed properties:
**SG**: No. 216
**Density**: 7966 kg/m³
**Energy of formation from the pure elements**: 177 meV/atom
**Volume**: 122 Å³/cell

4.
# AcErAg3

A geometry-optimized AcErAg3 structure (PBE-GGA, the Alexandria database).

a = 3.8639 Å, b = 4.8136 Å, c = 14.1752 Å
α = 90.00°, β = 97.83°, γ = 90.00°
Element x y z (fractional)
Er 0.2096 0.7500 0.4192
Er 0.7904 0.2500 0.5808
Ag 0.5255 0.7500 0.0510
Ag 0.3163 0.7500 0.6327
Ag 0.3738 0.2500 0.7476
Ag 0.6262 0.7500 0.2524
Ag 0.6837 0.2500 0.3673
Ag 0.4745 0.2500 0.9490
Ac 0.9228 0.7500 0.8457
Ac 0.0772 0.2500 0.1543

Computed properties:
**SG**: No. 63
**Density**: 9128 kg/m³
**Energy of formation from the pure elements**: -278 meV/atom
**Volume**: 261 Å³/cell

5.
# Ac2ErAg4

A geometry-optimized Ac2ErAg4 structure (PBE-GGA, the Alexandria database).

a = 5.5789 Å, b = 5.5789 Å, c = 7.7158 Å
α = 111.19°, β = 111.19°, γ = 90.00°
Element x y z (fractional)
Ac 0.2841 0.2841 0.5683
Ac 0.7159 0.7159 0.4317
Ag 0.3933 0.8933 0.7865
Ag 0.1067 0.6067 0.2135
Ag 0.6067 0.1067 0.2135
Ag 0.8933 0.3933 0.7865
Er 0.0000 0.0000 0.0000

Computed properties:
**SG**: No. 139
**Density**: 8470 kg/m³
**Energy of formation from the pure elements**: -102 meV/atom
**Volume**: 206 Å³/cell

6.
# Ac2ErAg

A geometry-optimized Ac2ErAg structure (PBE-GGA, the Alexandria database).

a = 5.7711 Å, b = 5.7711 Å, c = 5.7711 Å
α = 60.00°, β = 60.00°, γ = 60.00°
Element x y z (fractional)
Ag 0.0000 0.0000 0.0000
Er 0.5000 0.5000 0.5000
Ac 0.2500 0.2500 0.2500
Ac 0.7500 0.7500 0.7500

Computed properties:
**SG**: No. 225
**Density**: 8908 kg/m³
**Energy of formation from the pure elements**: 66 meV/atom
**E above lowest polymorph**: 140 meV per atom
**Volume**: 136 Å³/cell

7.
# Ac2ErAg

A geometry-optimized Ac2ErAg structure (PBE-GGA, the Alexandria database).

a = 3.7618 Å, b = 3.7618 Å, c = 12.4041 Å
α = 81.28°, β = 81.28°, γ = 60.00°
Element x y z (fractional)
Ag 0.0000 0.0000 0.0000
Er 0.5000 0.5000 0.5000
Ac 0.9144 0.9144 0.2568
Ac 0.0856 0.0856 0.7432

Computed properties:
**SG**: No. 166
**Density**: 8090 kg/m³
**Energy of formation from the pure elements**: 312 meV/atom
**E above lowest polymorph**: 386 meV per atom
**Volume**: 150 Å³/cell

8.
# AcEr5Ag4

A geometry-optimized AcEr5Ag4 structure (PBE-GGA, the Alexandria database).

a = 3.5989 Å, b = 3.5989 Å, c = 20.0706 Å
α = 90.00°, β = 90.00°, γ = 90.00°
Element x y z (fractional)
Ag 0.0000 0.0000 0.4093
Ag 0.0000 0.0000 0.2266
Ag 0.0000 0.0000 0.5907
Ag 0.0000 0.0000 0.7734
Er 0.5000 0.5000 0.5000
Er 0.5000 0.5000 0.1383
Er 0.5000 0.5000 0.8617
Er 0.5000 0.5000 0.6819
Er 0.5000 0.5000 0.3181
Ac 0.0000 0.0000 0.0000

Computed properties:
**SG**: No. 123
**Density**: 9548 kg/m³
**Energy of formation from the pure elements**: -244 meV/atom
**Volume**: 260 Å³/cell

Question: Number 2 is which compound?
Answer: AcDy2Tl2Ag2